No. 1
{"formula": "Ca2SiSb", "functional": "GGA-PBEsol", "state": "optimized geometry", "lattice_angstrom": [[-3.339, -2.309, 3.288], [-1.435, -4.961, -0.791], [1.682, -3.751, 3.223]], "species": ["Ca", "Ca", "Si", "Sb"], "fractional_positions": [[0.750, 0.750, 0.750], [0.000, 0.000, 0.000], [0.250, 0.250, 0.250], [0.500, 0.500, 0.500]], "total_energy_ev_per_atom": -3.7492, "magmom_total_mub_per_fu": 0.00, "formation_energy_uncorrected_mev_per_atom": -107, "mass_density_g_cm3": 3.8, "de_polymorph_mev_per_atom": 452}


No. 2
{"formula": "TaAu", "functional": "GGA-PBEsol", "state": "optimized geometry", "lattice_angstrom": [[-2.892, 1.298, -3.176], [3.451, -2.664, -1.061], [-2.999, -4.276, 0.983]], "species": ["Ta", "Ta", "Au", "Au"], "fractional_positions": [[0.667, 0.333, 0.750], [0.333, 0.667, 0.250], [0.667, 0.333, 0.250], [0.333, 0.667, 0.750]], "total_energy_ev_per_atom": -7.2311, "magmom_total_mub_per_fu": 0.00, "mass_density_g_cm3": 13.5, "e_form_ev_per_atom": 1.01}


No. 3
{"formula": "BaRuCl3", "functional": "GGA-PBEsol", "state": "optimized geometry", "lattice_angstrom": [[4.794, 0.000, 0.000], [0.000, 4.794, 0.000], [0.000, 0.000, 4.794]], "species": ["Cl", "Cl", "Cl", "Ru", "Ba"], "fractional_positions": [[0.000, 0.500, 0.000], [0.500, 0.000, 0.000], [0.000, 0.000, 0.500], [0.000, 0.000, 0.000], [0.500, 0.500, 0.500]], "total_energy_ev_per_atom": -4.7633, "magmom_total_mub_per_fu": 0.00, "formation_energy_uncorrected_mev_per_atom": -1094, "mass_density_g_cm3": 5.2, "de_polymorph_mev_per_atom": 0}


No. 4
{"formula": "CoRh2", "functional": "GGA-PBEsol", "state": "optimized geometry", "lattice_angstrom": [[-0.101, -2.062, -1.620], [2.036, -1.947, 2.352], [-6.493, -2.484, 3.565]], "species": ["Co", "Co", "Rh", "Rh", "Rh", "Rh"], "fractional_positions": [[0.000, 0.000, 0.577], [0.500, 0.500, 0.423], [0.000, 0.000, 0.264], [0.500, 0.500, 0.088], [0.500, 0.500, 0.736], [0.000, 0.000, 0.912]], "total_energy_ev_per_atom": -7.9464, "magmom_total_mub_per_fu": 1.91, "mass_density_g_cm3": 11.7, "e_form_ev_per_atom": 0.06}


No. 5
{"formula": "CuSiAu", "functional": "GGA-PBEsol", "state": "optimized geometry", "lattice_angstrom": [[-0.332, 2.564, 0.993], [-1.290, 0.853, -2.297], [-4.097, -3.197, 2.856]], "species": ["Si", "Au", "Cu"], "fractional_positions": [[0.318, 0.318, 0.635], [0.003, 0.003, 0.007], [0.679, 0.679, 0.358]], "total_energy_ev_per_atom": -4.5712, "magmom_total_mub_per_fu": 0.00, "formation_energy_uncorrected_mev_per_atom": 97, "mass_density_g_cm3": 11.2, "de_polymorph_mev_per_atom": 119}


No. 6
{"formula": "CsRuBr2", "functional": "GGA-PBEsol", "state": "optimized geometry", "lattice_angstrom": [[-0.583, 5.130, 1.472], [-4.865, 2.269, -0.045], [-2.444, 1.204, 4.626]], "species": ["Cs", "Br", "Br", "Ru"], "fractional_positions": [[0.500, 0.500, 0.500], [0.750, 0.750, 0.750], [0.250, 0.250, 0.250], [0.000, 0.000, 0.000]], "total_energy_ev_per_atom": -3.4904, "magmom_total_mub_per_fu": 3.00, "formation_energy_uncorrected_mev_per_atom": 223, "mass_density_g_cm3": 6.0}


No. 7
{"formula": "IrF6", "functional": "GGA-PBEsol", "state": "optimized geometry", "lattice_angstrom": [[5.046, 0.000, 0.000], [0.000, 8.700, 0.000], [0.000, 0.000, 9.545]], "species": ["F", "F", "F", "F", "F", "F", "F", "F", "F", "F", "F", "F", "F", "F", "F", "F", "F", "F", "F", "F", "F", "F", "F", "F", "Ir", "Ir", "Ir", "Ir"], "fractional_positions": [[0.064, 0.401, 0.738], [0.293, 0.250, 0.011], [0.564, 0.901, 0.762], [0.707, 0.750, 0.989], [0.256, 0.599, 0.984], [0.436, 0.099, 0.238], [0.887, 0.250, 0.242], [0.756, 0.099, 0.516], [0.244, 0.599, 0.484], [0.936, 0.901, 0.262], [0.436, 0.401, 0.238], [0.744, 0.099, 0.016], [0.207, 0.250, 0.511], [0.064, 0.099, 0.738], [0.613, 0.250, 0.742], [0.564, 0.599, 0.762], [0.936, 0.599, 0.262], [0.744, 0.401, 0.016], [0.387, 0.750, 0.258], [0.793, 0.750, 0.489], [0.113, 0.750, 0.758], [0.256, 0.901, 0.984], [0.244, 0.901, 0.484], [0.756, 0.401, 0.516], [0.590, 0.250, 0.127], [0.410, 0.750, 0.873], [0.090, 0.750, 0.373], [0.910, 0.250, 0.627]], "total_energy_ev_per_atom": -4.4894, "magmom_total_mub_per_fu": 3.00, "formation_energy_uncorrected_mev_per_atom": -1434, "mass_density_g_cm3": 4.9}